# PBE KSrPdO2, optimized geometry
# * formation energy from raw total energies: -6.54 eV per formula unit
# * Fermi-level density of states: 29.7 states/eV/cell
data_KSrPdO2
_chemical_formula_sum 'K4 Sr4 Pd4 O8'
_space_group_name_H-M_alt 'C m m e'
_space_group_IT_number 67
_space_group_name_Hall '-C 2a 2'
_cell_length_a 7.2990
_cell_length_b 13.3022
_cell_length_c 5.7133
_cell_angle_alpha 90.00
_cell_angle_beta 90.00
_cell_angle_gamma 90.00
loop_
_atom_site_label
_atom_site_type_symbol
_atom_site_fract_x
_atom_site_fract_y
_atom_site_fract_z
_atom_site_occupancy
K1 K 0.0000 0.2500 0.0786 1
Sr1 Sr 0.2500 0.0000 0.5000 1
Pd1 Pd 0.0000 0.0000 0.0000 1
O1 O 0.0000 0.0830 0.2906 1